This record from Alexandria describes a relaxed structure of Li2Cd3Ag7. The functional is PBE-GGA.

Geometry as POSCAR:
```
Li2Cd3Ag7
1.0
5.070 0.891 -0.372
1.023 4.922 0.082
-1.035 0.204 9.568
Ag Cd Li
7 3 2
Direct
0.060 0.466 0.154
0.436 0.025 0.842
0.564 0.975 0.158
0.460 0.257 0.412
0.940 0.534 0.846
0.540 0.743 0.588
0.000 0.000 0.000
0.887 0.088 0.666
0.500 0.500 0.000
0.113 0.912 0.334
0.216 0.457 0.631
0.784 0.543 0.369
```

Results
The calculated total energy comes out at -2.271 eV/atom. The calculation puts the energy above the most stable polymorph in this dataset at 0 kJ/mol of formula units. As for the space group: P-1, No. 2. The value obtained for the total magnetization is 0.00 μB per cell. The density of states at the Fermi level is 4.464 states/eV/f.u. The energy of formation from the pure elements is -0.71 eV/f.u.



This record from Alexandria describes a relaxed structure of Rb3AlS3. The functional is PBE-GGA.

Geometry as POSCAR:
```
Rb3AlS3
1.0
-7.274 3.344 -0.280
-2.300 -4.369 7.549
4.667 10.619 5.578
S Al Rb
12 4 12
Direct
0.837 0.241 0.026
0.443 0.074 0.891
0.569 0.663 0.847
0.943 0.926 0.609
0.931 0.663 0.347
0.557 0.926 0.109
0.337 0.759 0.474
0.069 0.337 0.653
0.663 0.241 0.526
0.057 0.074 0.391
0.163 0.759 0.974
0.431 0.337 0.153
0.574 0.161 0.050
0.926 0.161 0.550
0.074 0.839 0.450
0.426 0.839 0.950
0.645 0.928 0.365
0.281 0.387 0.425
0.781 0.613 0.075
0.216 0.673 0.708
0.284 0.673 0.208
0.784 0.327 0.292
0.145 0.072 0.135
0.219 0.387 0.925
0.716 0.327 0.792
0.355 0.072 0.635
0.719 0.613 0.575
0.855 0.928 0.865
```

Results
The calculated total energy comes out at -3.974 eV/atom. The calculation puts the energy above the most stable polymorph in this dataset at 0 kJ/mol of formula units. As for the space group: P2_1/c, No. 14. The value obtained for the total magnetization is 0.00 μB per cell. The density of states at the Fermi level is 0.000 states/eV/f.u. The calculation puts the uncorrected formation energy at -1.26 eV/atom.



This record from Alexandria describes a relaxed structure of CsTl2HgAs. The functional is PBE-GGA.

Geometry as POSCAR:
```
CsTl2HgAs
1.0
6.018 0.000 0.000
0.000 5.504 0.000
0.000 0.000 6.018
Cs Tl Hg As
1 2 1 1
Direct
0.500 0.500 0.500
0.500 0.000 0.000
0.000 0.000 0.500
0.000 0.000 0.000
0.000 0.500 0.000
```

Results
The calculated total energy comes out at -1.988 eV/atom. As for the space group: P4/mmm, No. 123. The value obtained for the total magnetization is 0.00 μB per cell. The density of states at the Fermi level is 3.457 states/eV/f.u. The energy of formation from the pure elements is 0.60 eV/f.u.



This record from Alexandria describes a relaxed structure of NdY3Ru. The functional is PBE-GGA.

Geometry as POSCAR:
```
NdY3Ru
1.0
-4.490 0.033 5.844
-3.113 -3.971 -5.371
6.482 -2.994 1.535
Nd Y Ru
2 6 2
Direct
0.288 0.948 0.236
0.712 0.052 0.764
0.298 0.554 0.852
0.246 0.452 0.300
0.152 0.946 0.700
0.754 0.548 0.700
0.702 0.446 0.148
0.848 0.054 0.300
0.635 0.749 0.384
0.365 0.251 0.616
```

Results
The calculated total energy comes out at -6.869 eV/atom. The calculation puts the energy above the most stable polymorph in this dataset at 0 kJ/mol of formula units. As for the space group: C2/m, No. 12. The value obtained for the total magnetization is 0.00 μB per cell. The density of states at the Fermi level is 5.849 states/eV/f.u. The energy of formation from the pure elements is -0.91 eV/f.u.



> Which value of calculated total energy does entry 4 give?

-6.869 eV/atom



> Look up the calculated total energy of the first one.

-2.271 eV/atom